i | First-principles (PBE) data for a relaxed structure of NaBiB3, as listed in the Alexandria database.

Properties
D(E_F): 3.27 states/eV/cell
M_tot: 0.00 μB/cell

Structure (CIF):
```
data_NaBiB3
_cell_length_a 4.484
_cell_length_b 4.484
_cell_length_c 4.484
_cell_angle_alpha 90.00
_cell_angle_beta 90.00
_cell_angle_gamma 90.00
_space_group_name_H-M_alt 'P m -3 m'
_space_group_IT_number 221
_space_group_name_Hall '-P 4 2 3'
loop_
_atom_site_label
_atom_site_type_symbol
_atom_site_fract_x
_atom_site_fract_y
_atom_site_fract_z
Na1 Na 0.000 0.000 0.000
Bi1 Bi 0.500 0.500 0.500
B1 B 0.000 0.000 0.500
```

***

ii | First-principles (PBE) data for a relaxed structure of NaBiB3, as listed in the Alexandria database.

Properties
D(E_F): 2.82 states/eV/cell
M_tot: 0.00 μB/cell

Structure (CIF):
```
data_NaBiB3
_cell_length_a 4.870
_cell_length_b 4.870
_cell_length_c 4.870
_cell_angle_alpha 90.00
_cell_angle_beta 90.00
_cell_angle_gamma 90.00
_space_group_name_H-M_alt 'P m -3 m'
_space_group_IT_number 221
_space_group_name_Hall '-P 4 2 3'
loop_
_atom_site_label
_atom_site_type_symbol
_atom_site_fract_x
_atom_site_fract_y
_atom_site_fract_z
Na1 Na 0.000 0.000 0.000
Bi1 Bi 0.500 0.500 0.500
B1 B 0.000 0.500 0.500
```

***

Stability ranking, top and bottom: ii is the most stable and i is the least stable.

***

i | First-principles (PBE) data for a relaxed structure of Nb2BiB, as listed in the Alexandria database.

Properties
D(E_F): 13.31 states/eV/cell
M_tot: 0.00 μB/cell

Structure (CIF):
```
data_Nb2BiB
_cell_length_a 6.515
_cell_length_b 6.515
_cell_length_c 6.515
_cell_angle_alpha 90.00
_cell_angle_beta 90.00
_cell_angle_gamma 90.00
_space_group_name_H-M_alt 'F m -3 m'
_space_group_IT_number 225
_space_group_name_Hall '-F 4 2 3'
loop_
_atom_site_label
_atom_site_type_symbol
_atom_site_fract_x
_atom_site_fract_y
_atom_site_fract_z
Nb1 Nb 0.250 0.250 0.250
Bi1 Bi 0.000 0.000 0.000
B1 B 0.000 0.000 0.500
```

***

ii | First-principles (PBE) data for a relaxed structure of Nb2BiB, as listed in the Alexandria database.

Properties
D(E_F): 15.44 states/eV/cell
M_tot: 0.00 μB/cell

Structure (CIF):
```
data_Nb2BiB
_cell_length_a 5.587
_cell_length_b 5.587
_cell_length_c 11.569
_cell_angle_alpha 90.00
_cell_angle_beta 90.00
_cell_angle_gamma 90.00
_space_group_name_H-M_alt 'I -4 2 d'
_space_group_IT_number 122
_space_group_name_Hall 'I -4 2bw'
loop_
_atom_site_label
_atom_site_type_symbol
_atom_site_fract_x
_atom_site_fract_y
_atom_site_fract_z
Nb1 Nb 0.134 0.250 0.125
Bi1 Bi 0.000 0.000 0.500
B1 B 0.000 0.000 0.000
```

***

Stability ranking, top and bottom: ii is the most stable and i is the least stable.